Entry from Alexandria via LeMat-Bulk: a relaxed MgIn2 crystal (PBEsol).

Lattice parameters (Å, degrees): 3.4427 6.0691 7.6959 110.30 90.00 106.48
Fractional positions:
Mg  0.6919  0.3837  0.6387
Mg  0.3081  0.6163  0.3613
In  0.9706  0.9413  0.6899
In  0.0294  0.0587  0.3101
In  0.6419  0.2838  0.0322
In  0.3581  0.7162  0.9678

---

Entry from Alexandria via LeMat-Bulk: a relaxed IrRh2 crystal (PBEsol).

Lattice parameters (Å, degrees): 3.7945 3.7945 11.6870 99.34 99.34 90.00
Fractional positions:
Ir  0.0838  0.0838  0.1675
Ir  0.3338  0.8338  0.6675
Ir  0.9162  0.9162  0.8325
Ir  0.1662  0.6662  0.3325
Rh  0.5835  0.5835  0.1669
Rh  0.7496  0.7496  0.4991
Rh  0.9996  0.4996  0.9991
Rh  0.6665  0.1665  0.3330
Rh  0.2504  0.2504  0.5009
Rh  0.5004  0.0004  0.0009
Rh  0.4165  0.4165  0.8330
Rh  0.8335  0.3335  0.6670

Calculated values
E above lowest polymorph = 0.03 eV/f.u.

---

Entry from Alexandria via LeMat-Bulk: a relaxed FeOs2Rh crystal (PBEsol).

Lattice parameters (Å, degrees): 2.7796 4.3361 5.1145 115.08 105.77 90.00
Each line ends with the local moment (μB).
Fractional positions:
Os  0.9791  0.9791  0.9582  0.07
Os  0.7442  0.2442  0.4884  0.11
Fe  0.2525  0.7525  0.5049  2.37
Rh  0.5242  0.5242  0.0484  0.18

Calculated values
E above lowest polymorph = 0.00 eV/f.u.

---

Number 1: ΔH_f (0 K) -0.051 eV/atom, raw total energy -2.612 eV per atom. Number 2: ΔH_f (0 K) -0.016 eV/atom, raw total energy -8.716 eV per atom. Number 3: ΔH_f (0 K) 0.355 eV/atom, raw total energy -10.028 eV per atom.